Crystalline Eu2HBr at its relaxed geometry. Source: Alexandria via LeMat-Bulk, functional GGA-PBE.

As for the density of states at the Fermi level: 1.25 states/eV/cell. The final energy comes out at -7.278 eV per atom. Its density is 6.55 g cm⁻³. The total magnetic moment comes out at 3.907 μB/atom. The space group is R-3m (166).

```
Eu2HBr
1.0
-1.8076 3.2556 -1.1120
-3.6695 -0.1519 -1.2704
-4.2794 2.0515 6.1719
Eu H Br
2 1 1
direct
0.2699 0.2699 0.1903
0.7301 0.7301 0.8097
0.0000 0.0000 0.0000
0.5000 0.5000 0.5000
```